1.
Computed, not measured: an optimized crystal structure of Ba2NaTl3Hg4 at the GGA-PBE level of DFT.

ΔH_f (0 K)	-293	meV/atom

Structure (POSCAR):
```
Ba2NaTl3Hg4
1.0
-2.5256 4.3901 -0.6563
-4.0485 -1.9685 2.4119
4.4846 4.2202 10.9720
Ba Na Tl Hg
2 1 3 4
direct
0.5000 0.0000 0.2263
0.0000 0.5000 0.7737
0.5000 0.5000 0.5000
0.0000 0.0000 0.5000
0.5000 0.0000 0.8690
0.0000 0.5000 0.1310
0.5000 0.5000 0.0000
0.0000 0.0000 0.0000
0.5000 0.0000 0.6343
0.0000 0.5000 0.3657
```

2.
Computed, not measured: an optimized crystal structure of K4Na5Au2 at the GGA-PBE level of DFT.

ΔH_f (0 K)	-99	meV/atom

Structure (POSCAR):
```
K4Na5Au2
1.0
-0.2742 1.0014 4.7672
1.0270 -8.4232 1.8285
10.5786 1.9898 0.1905
K Na Au
4 5 2
direct
0.5000 0.7922 0.5655
0.5000 0.1839 0.8410
0.5000 0.2078 0.4345
0.5000 0.8161 0.1590
0.0000 0.5684 0.3373
0.0000 0.1546 0.1568
0.0000 0.5000 0.0000
0.0000 0.8454 0.8432
0.0000 0.4316 0.6627
0.0000 0.0684 0.6271
0.0000 0.9316 0.3729
```

3.
Computed, not measured: an optimized crystal structure of BeRhAu at the GGA-PBE level of DFT.

ΔH_f (0 K)	-189	meV/atom
offset from the most stable computed form	6.2	kJ per mole of atoms

Structure (POSCAR):
```
BeRhAu
1.0
-3.0879 -2.3912 0.3700
0.4650 -3.5815 1.5319
-1.4362 -0.8127 3.5590
Rh Au Be
1 1 1
direct
0.0000 0.0000 0.0000
0.5000 0.5000 0.5000
0.7500 0.7500 0.7500
```

4.
Computed, not measured: an optimized crystal structure of Sc4AsOs2 at the GGA-PBE level of DFT.

ΔH_f (0 K)	99	meV/atom

Structure (POSCAR):
```
Sc4AsOs2
1.0
5.0778 0.0000 0.0000
0.0000 5.0778 0.0000
2.5389 2.5389 6.3511
Sc As Os
4 1 2
direct
0.7950 0.7950 0.4100
0.2050 0.2050 0.5900
0.0000 0.5000 0.0000
0.5000 0.0000 0.0000
0.0000 0.0000 0.0000
0.5962 0.5962 0.8076
0.4038 0.4038 0.1924
```

5.
Computed, not measured: an optimized crystal structure of NbAlSi2 at the GGA-PBE level of DFT.

formation energy from raw total energies	204	meV/atom

Structure (POSCAR):
```
NbAlSi2
1.0
-1.4148 -3.1218 -6.1866
-5.6158 -3.1828 2.8903
-5.0482 -1.0792 -2.3437
Nb Si Al
2 4 2
direct
0.0000 0.0000 0.0000
0.7500 0.2500 0.5000
0.6169 0.1250 0.2500
0.1331 0.6250 0.2500
0.3750 0.3831 0.7500
0.8750 0.8669 0.7500
0.5000 0.5000 0.0000
0.2500 0.7500 0.5000
```

6.
Computed, not measured: an optimized crystal structure of Dy3Ag4SbSe8 at the GGA-PBE level of DFT.

formation energy from raw total energies	-916	meV/atom

Structure (POSCAR):
```
Dy3Ag4SbSe8
1.0
-2.6514 4.4306 6.5513
5.6743 -3.4332 4.6183
1.9872 3.8632 -7.1188
Dy Ag Sb Se
3 4 1 8
direct
0.5000 0.5000 0.0000
0.5000 0.5000 0.5000
0.0000 0.5000 0.5000
0.5000 0.0000 0.0000
0.5000 0.0000 0.5000
0.0000 0.0000 0.0000
0.0000 0.0000 0.5000
0.0000 0.5000 0.0000
0.2496 0.7480 0.9992
0.2496 0.7480 0.4991
0.2519 0.2565 0.5039
0.7496 0.7480 0.9992
0.2504 0.2520 0.0008
0.7481 0.7435 0.4961
0.7504 0.2520 0.5009
0.7504 0.2520 0.0008
```